CaZn2W | PBE | relaxed Values from VASP.

DOS(E_F)	2.00	states/eV/f.u.
SG	Imm2
theoretical density	8.24	Mg/m³
energy relative to the elements	1.661	eV per formula unit

```
&SYSTEM
  ibrav = 0, nat = 4, ntyp = 3
/
ATOMIC_SPECIES
Ca 40.08 Ca.upf
Zn 65.41 Zn.upf
W 183.84 W.upf
CELL_PARAMETERS angstrom
-1.453 2.478 4.964
1.453 -2.478 4.964
1.453 2.478 -4.964
ATOMIC_POSITIONS crystal
Ca 0.000 0.000 0.000
Zn 0.515 0.515 0.000
Zn 0.736 0.236 0.500
W 0.282 0.782 0.500
```